! LuZrCdPt PBE optimized geometry; values from VASP
! VASP energy (eV per atom): -5.57
! DFT formation energy (eV/atom): -0.56
! Symmetry: F-43m (216)
&SYSTEM
  ibrav = 0, nat = 4, ntyp = 4
/
ATOMIC_SPECIES
Lu 174.97 Lu.upf
Cd 112.41 Cd.upf
Pt 195.08 Pt.upf
Zr 91.22 Zr.upf
CELL_PARAMETERS angstrom
-0.167 -3.014 -3.886
-1.418 -4.677 0.573
-4.341 -1.490 -1.774
ATOMIC_POSITIONS angstrom
Lu 0.000 0.000 0.000
Cd -1.481 -2.295 -1.272
Pt -4.444 -6.885 -3.815
Zr -2.963 -4.590 -2.543